VASP calculation (GGA-PBE) on an optimized crystal structure of CaTl4Zn3F12.

```
data_CaTl4Zn3F12
_cell_length_a 8.550
_cell_length_b 8.550
_cell_length_c 8.550
_cell_angle_alpha 90.00
_cell_angle_beta 90.00
_cell_angle_gamma 90.00
_symmetry_space_group_name_H-M 'I m -3 m'
_symmetry_Int_Tables_number 229
_symmetry_space_group_name_Hall '-I 4 2 3'
loop_
_atom_site_label
_atom_site_type_symbol
_atom_site_fract_x
_atom_site_fract_y
_atom_site_fract_z
_atom_site_occupancy
Ca1 Ca 0.000 0.000 0.000 1
Tl1 Tl 0.250 0.250 0.250 1
Zn1 Zn 0.000 0.000 0.500 1
F1 F 0.000 0.000 0.263 1
F2 F 0.000 0.250 0.500 1
```

Output
Magnetization ... 0.000 Bohr magnetons per cell
ΔE_f (raw) ... -2.351 eV/atom



VASP calculation (GGA-PBE) on an optimized crystal structure of Zn2Ag4Hg.

```
data_Zn2Ag4Hg
_cell_length_a 6.031
_cell_length_b 6.324
_cell_length_c 7.086
_cell_angle_alpha 70.27
_cell_angle_beta 88.68
_cell_angle_gamma 77.09
_symmetry_space_group_name_H-M 'P 1'
_symmetry_Int_Tables_number 1
loop_
_symmetry_equiv_pos_as_xyz
'x,y,z'
loop_
_atom_site_label
_atom_site_type_symbol
_atom_site_fract_x
_atom_site_fract_y
_atom_site_fract_z
_atom_site_occupancy
Zn1 Zn 0.000 0.000 0.000 1
Zn2 Zn 0.065 0.727 0.422 1
Zn3 Zn 0.529 0.999 0.008 1
Zn4 Zn 0.874 0.575 0.138 1
Ag1 Ag 0.152 0.412 0.870 1
Ag2 Ag 0.232 0.124 0.273 1
Ag3 Ag 0.351 0.597 0.143 1
Ag4 Ag 0.608 0.722 0.416 1
Ag5 Ag 0.663 0.421 0.868 1
Ag6 Ag 0.735 0.157 0.279 1
Ag7 Ag 0.804 0.857 0.725 1
Ag8 Ag 0.948 0.301 0.561 1
Hg1 Hg 0.299 0.851 0.711 1
Hg2 Hg 0.442 0.301 0.566 1
```

Output
Magnetization ... 0.000 Bohr magnetons per cell
Energy of formation from the pure elements ... 0.13 eV per formula unit



VASP calculation (GGA-PBE) on an optimized crystal structure of Ba2Pt2Se.

```
data_Ba2Pt2Se
_cell_length_a 6.150
_cell_length_b 6.150
_cell_length_c 7.895
_cell_angle_alpha 90.00
_cell_angle_beta 90.00
_cell_angle_gamma 90.00
_symmetry_space_group_name_H-M 'I 4/m m m'
_symmetry_Int_Tables_number 139
_symmetry_space_group_name_Hall '-I 4 2'
loop_
_atom_site_label
_atom_site_type_symbol
_atom_site_fract_x
_atom_site_fract_y
_atom_site_fract_z
_atom_site_occupancy
Ba1 Ba 0.000 0.500 0.250 1
Pt1 Pt 0.000 0.000 0.162 1
Se1 Se 0.000 0.000 0.500 1
```

Output
Magnetization ... 0.000 Bohr magnetons per cell
ΔE_f (raw) ... -0.927 eV/atom



VASP calculation (GGA-PBE) on an optimized crystal structure of Sr2IrAu.

```
data_Sr2IrAu
_cell_length_a 6.639
_cell_length_b 6.639
_cell_length_c 14.538
_cell_angle_alpha 90.00
_cell_angle_beta 90.00
_cell_angle_gamma 90.00
_symmetry_space_group_name_H-M 'I -4 2 d'
_symmetry_Int_Tables_number 122
_symmetry_space_group_name_Hall 'I -4 2bw'
loop_
_atom_site_label
_atom_site_type_symbol
_atom_site_fract_x
_atom_site_fract_y
_atom_site_fract_z
_atom_site_occupancy
Sr1 Sr 0.204 0.250 0.125 1
Ir1 Ir 0.000 0.000 0.000 1
Au1 Au 0.000 0.000 0.500 1
```

Output
Magnetization ... 0.000 Bohr magnetons per cell
Energy of formation from the pure elements ... 0.79 eV per formula unit



VASP calculation (GGA-PBE) on an optimized crystal structure of La5Ag2Ru2.

```
data_La5Ag2Ru2
_cell_length_a 20.085
_cell_length_b 6.744
_cell_length_c 7.396
_cell_angle_alpha 90.00
_cell_angle_beta 90.00
_cell_angle_gamma 90.00
_symmetry_space_group_name_H-M 'I m a 2'
_symmetry_Int_Tables_number 46
loop_
_symmetry_equiv_pos_as_xyz
'x,y,z'
'-x,-y,z'
'-x+1/2,y,z'
'x+1/2,-y,z'
'x+1/2,y+1/2,z+1/2'
'-x+1/2,-y+1/2,z+1/2'
'-x,y+1/2,z+1/2'
'x,-y+1/2,z+1/2'
loop_
_atom_site_label
_atom_site_type_symbol
_atom_site_fract_x
_atom_site_fract_y
_atom_site_fract_z
_atom_site_occupancy
La1 La 0.075 0.155 0.000 1
La2 La 0.164 0.665 0.149 1
La3 La 0.250 0.153 0.270 1
Ag1 Ag 0.055 0.622 0.861 1
Ru1 Ru 0.000 0.000 0.748 1
Ru2 Ru 0.250 0.529 0.443 1
```

Output
Magnetization ... 0.000 Bohr magnetons per cell
Energy of formation from the pure elements ... -2.06 eV per formula unit



VASP calculation (GGA-PBE) on an optimized crystal structure of V6IrOs5.

```
data_V6IrOs5
_cell_length_a 4.191
_cell_length_b 6.292
_cell_length_c 12.621
_cell_angle_alpha 90.00
_cell_angle_beta 90.00
_cell_angle_gamma 90.00
_symmetry_space_group_name_H-M 'I m m m'
_symmetry_Int_Tables_number 71
_symmetry_space_group_name_Hall '-I 2 2'
loop_
_atom_site_label
_atom_site_type_symbol
_atom_site_fract_x
_atom_site_fract_y
_atom_site_fract_z
_atom_site_occupancy
V1 V 0.000 0.236 0.000 1
V2 V 0.000 0.256 0.332 1
Ir1 Ir 0.000 0.000 0.500 1
Os1 Os 0.000 0.000 0.174 1
Os2 Os 0.000 0.500 0.156 1
Os3 Os 0.000 0.500 0.500 1
```

Output
Magnetization ... 0.000 Bohr magnetons per cell
Energy of formation from the pure elements ... -2.82 eV per formula unit



VASP calculation (GGA-PBE) on an optimized crystal structure of Te2PbCl.

```
data_Te2PbCl
_cell_length_a 4.386
_cell_length_b 4.386
_cell_length_c 6.112
_cell_angle_alpha 90.00
_cell_angle_beta 90.00
_cell_angle_gamma 90.00
_symmetry_space_group_name_H-M 'P 4/m m m'
_symmetry_Int_Tables_number 123
_symmetry_space_group_name_Hall '-P 4 2'
loop_
_atom_site_label
_atom_site_type_symbol
_atom_site_fract_x
_atom_site_fract_y
_atom_site_fract_z
_atom_site_occupancy
Te1 Te 0.000 0.500 0.000 1
Pb1 Pb 0.000 0.000 0.500 1
Cl1 Cl 0.500 0.500 0.500 1
```

Output
Magnetization ... 0.000 Bohr magnetons per cell
ΔE_f (raw) ... -0.331 eV/atom



VASP calculation (GGA-PBE) on an optimized crystal structure of Tl3GeN.

```
data_Tl3GeN
_cell_length_a 4.940
_cell_length_b 4.940
_cell_length_c 4.940
_cell_angle_alpha 90.00
_cell_angle_beta 90.00
_cell_angle_gamma 90.00
_symmetry_space_group_name_H-M 'P m -3 m'
_symmetry_Int_Tables_number 221
_symmetry_space_group_name_Hall '-P 4 2 3'
loop_
_atom_site_label
_atom_site_type_symbol
_atom_site_fract_x
_atom_site_fract_y
_atom_site_fract_z
_atom_site_occupancy
Tl1 Tl 0.000 0.000 0.500 1
Ge1 Ge 0.500 0.500 0.500 1
N1 N 0.000 0.000 0.000 1
```

Output
Magnetization ... 0.000 Bohr magnetons per cell
ΔE_f (raw) ... 0.778 eV/atom



no.,Fermi-level density of states (states/eV per cell)
1,0.00
2,2.94
3,0.00
4,0.00
5,27.95
6,27.70
7,1.55
8,2.78